(1)
Compound: Na3PuCu2O8
Source: Alexandria via LeMat-Bulk
Functional: PBE-GGA
Structure: relaxed

POSCAR file:
```
Na3PuCu2O8
1.0
5.679 0.000 0.000
-2.840 4.918 0.000
0.000 0.000 7.077
O Cu Na Pu
8 2 3 1
Direct
0.166 0.331 0.334
0.333 0.667 0.941
0.834 0.166 0.666
0.331 0.166 0.666
0.166 0.834 0.334
0.669 0.834 0.334
0.667 0.333 0.059
0.834 0.669 0.666
0.667 0.333 0.813
0.333 0.667 0.187
0.000 0.000 0.000
0.333 0.667 0.622
0.667 0.333 0.378
0.000 0.000 0.500
```

Total energy in eV per formula unit: -84.02
Fermi-level density of states in states/eV per atom: 0.580

=====

(2)
Compound: Ta3Pt4
Source: Alexandria via LeMat-Bulk
Functional: PBE-GGA
Structure: relaxed

POSCAR file:
```
Ta3Pt4
1.0
2.619 -4.537 0.000
2.619 4.537 0.000
0.000 0.000 5.034
Pt Ta
4 3
Direct
0.000 0.000 0.255
0.000 0.000 0.745
0.333 0.667 0.500
0.667 0.333 0.500
0.500 0.500 0.000
0.500 0.000 0.000
0.000 0.500 0.000
```

Energy of formation from the pure elements in kJ/mol of formula units: -173
Distance to the lowest polymorph of the same formula in meV per atom: 429.7
Total energy in eV per formula unit: -61.52
Fermi-level density of states in states/eV per atom: 0.671

=====

(3)
Compound: Fe2AsOs
Source: Alexandria via LeMat-Bulk
Functional: PBE-GGA
Structure: relaxed

POSCAR file:
```
Fe2AsOs
1.0
-1.906 -1.803 -0.655
2.444 -0.500 -1.043
1.949 -4.507 6.730
Fe Os As
2 1 1
Direct
0.000 0.000 0.503
0.000 0.000 0.997
0.500 0.500 0.250
0.500 0.500 0.750
```

Energy of formation from the pure elements in kJ/mol of formula units: 143
Total energy in eV per formula unit: -31.32
Fermi-level density of states in states/eV per atom: 0.975

=====

(4)
Compound: AcEu2Pt
Source: Alexandria via LeMat-Bulk
Functional: PBE-GGA
Structure: relaxed

POSCAR file:
```
AcEu2Pt
1.0
-2.206 -3.187 -1.003
0.038 -1.355 -3.767
7.752 -8.158 0.883
Pt Eu Ac
1 2 1
Direct
0.500 0.500 0.500
0.114 0.114 0.659
0.886 0.886 0.341
0.000 0.000 0.000
```

Energy of formation from the pure elements in kJ/mol of formula units: -130
Distance to the lowest polymorph of the same formula in meV per atom: 118.0
Total energy in eV per formula unit: -32.05
Fermi-level density of states in states/eV per atom: 5.279

=====

(5)
Compound: K3UI2Cl6
Source: Alexandria via LeMat-Bulk
Functional: PBE-GGA
Structure: relaxed

POSCAR file:
```
K3UI2Cl6
1.0
-0.623 2.708 -5.267
3.852 -7.206 -4.161
-9.717 -0.004 1.114
I Cl K U
2 6 3 1
Direct
0.097 0.694 0.387
0.903 0.306 0.613
0.266 0.137 0.874
0.739 0.879 0.758
0.261 0.121 0.242
0.266 0.737 0.874
0.734 0.863 0.126
0.734 0.263 0.126
0.500 0.000 0.500
0.500 0.500 0.500
0.000 0.500 0.000
0.500 0.000 0.000
```

Total energy in eV per formula unit: -48.36

=====

(6)
Compound: Dy5Ho2Sc
Source: Alexandria via LeMat-Bulk
Functional: PBE-GGA
Structure: relaxed

POSCAR file:
```
Dy5Ho2Sc
1.0
6.840 -0.511 -2.028
-3.928 5.620 -2.032
0.108 0.196 6.614
Dy Sc Ho
5 1 2
Direct
0.737 0.819 0.500
0.237 0.319 0.500
0.816 0.234 0.000
0.322 0.739 0.000
0.321 0.235 0.000
0.820 0.736 0.000
0.739 0.325 0.509
0.231 0.817 0.491
```

Energy of formation from the pure elements in kJ/mol of formula units: 11
Distance to the lowest polymorph of the same formula in meV per atom: 0.0
Total energy in eV per formula unit: -38.38
Fermi-level density of states in states/eV per atom: 1.727

=====

(7)
Compound: ScAgPd
Source: Alexandria via LeMat-Bulk
Functional: PBE-GGA
Structure: relaxed

POSCAR file:
```
ScAgPd
1.0
3.468 0.000 -0.736
0.000 4.375 0.000
-0.295 0.000 7.151
Pd Sc Ag
2 2 2
Direct
0.571 0.750 0.143
0.429 0.250 0.857
0.911 0.750 0.822
0.089 0.250 0.178
0.760 0.250 0.520
0.240 0.750 0.480
```

Energy of formation from the pure elements in kJ/mol of formula units: -173
Distance to the lowest polymorph of the same formula in meV per atom: 0.0
Total energy in eV per formula unit: -16.16
Fermi-level density of states in states/eV per atom: 0.523

=====

(8)
Compound: Al2SnW4
Source: Alexandria via LeMat-Bulk
Functional: PBE-GGA
Structure: relaxed

POSCAR file:
```
Al2SnW4
1.0
-2.268 -4.185 0.836
1.364 0.187 4.633
-5.884 1.238 4.204
W Al Sn
4 2 1
Direct
0.797 0.797 0.405
0.000 0.500 0.000
0.500 0.000 0.000
0.203 0.203 0.595
0.605 0.605 0.791
0.395 0.395 0.209
0.000 0.000 0.000
```

Energy of formation from the pure elements in kJ/mol of formula units: 1485
Total energy in eV per formula unit: -47.91
Fermi-level density of states in states/eV per atom: 1.536

=====

(9)
Compound: Al4Te7I
Source: Alexandria via LeMat-Bulk
Functional: PBE-GGA
Structure: relaxed

POSCAR file:
```
Al4Te7I
1.0
-4.702 3.640 4.123
-0.420 -5.987 4.808
11.816 5.847 8.313
Te Al I
14 8 2
Direct
0.434 0.849 0.268
0.934 0.151 0.232
0.919 0.644 0.613
0.419 0.356 0.113
0.583 0.859 0.000
0.440 0.377 0.632
0.940 0.623 0.132
0.919 0.644 0.387
0.083 0.141 0.500
0.440 0.377 0.368
0.940 0.623 0.868
0.934 0.151 0.768
0.419 0.356 0.887
0.434 0.849 0.732
0.082 0.347 0.358
0.556 0.177 0.244
0.582 0.653 0.142
0.556 0.177 0.756
0.056 0.823 0.744
0.056 0.823 0.256
0.082 0.347 0.642
0.582 0.653 0.858
0.711 0.038 0.500
0.211 0.962 0.000
```

Total energy in eV per formula unit: -41.82
Fermi-level density of states in states/eV per atom: 0.246

=====

(10)
Compound: Al2TlCrNi
Source: Alexandria via LeMat-Bulk
Functional: PBE-GGA
Structure: relaxed

POSCAR file:
```
Al2TlCrNi
1.0
4.512 0.000 0.000
0.000 4.990 0.000
0.000 0.000 4.512
Al Cr Ni Tl
2 1 1 1
Direct
0.000 0.000 0.500
0.500 0.000 0.000
0.500 0.500 0.500
0.000 0.000 0.000
0.000 0.500 0.000
```

Energy of formation from the pure elements in kJ/mol of formula units: 201
Total energy in eV per formula unit: -23.17
Fermi-level density of states in states/eV per atom: 0.509

=====

(11)
Compound: Li2NdSmAu4
Source: Alexandria via LeMat-Bulk
Functional: PBE-GGA
Structure: relaxed

POSCAR file:
```
Li2NdSmAu4
1.0
-2.313 -1.845 3.994
-1.337 -4.786 0.108
5.950 -4.138 4.628
Au Sm Nd Li
4 1 1 2
Direct
0.376 0.376 0.872
0.126 0.126 0.621
0.874 0.874 0.379
0.624 0.624 0.128
0.500 0.500 0.500
0.000 0.000 0.000
0.751 0.751 0.748
0.249 0.249 0.252
```

Energy of formation from the pure elements in kJ/mol of formula units: -516
Total energy in eV per formula unit: -31.77
Fermi-level density of states in states/eV per atom: 0.662

=====

(12)
Compound: ZrAlCr2
Source: Alexandria via LeMat-Bulk
Functional: PBE-GGA
Structure: relaxed

POSCAR file:
```
ZrAlCr2
1.0
4.168 0.000 0.000
0.000 4.130 0.000
0.000 0.000 3.740
Zr Cr Al
1 2 1
Direct
0.500 0.000 0.500
0.000 0.000 0.000
0.500 0.500 0.000
0.000 0.500 0.500
```

Energy of formation from the pure elements in kJ/mol of formula units: 27
Total energy in eV per formula unit: -31.25
Fermi-level density of states in states/eV per atom: 0.971